[1]
Entry from the Alexandria database: a geometry-optimized Sc2Se structure (PBEsol).

## Properties
Raw total energy (eV per atom): -6.80
Space group: Pnma
Magnetic moment (μB per formula unit): 0.000
Uncorrected formation energy (kJ/mol of atoms): -107.01

a = 7.1811 Å, b = 3.5201 Å, c = 9.3483 Å
α = 90.00°, β = 90.00°, γ = 90.00°
Fractional positions:
Sc 0.0119 0.2500 0.1749
Sc 0.1654 0.7500 0.4458
Sc 0.3346 0.2500 0.9458
Sc 0.4881 0.7500 0.6749
Sc 0.5119 0.2500 0.3251
Sc 0.6654 0.7500 0.0542
Sc 0.8346 0.2500 0.5542
Sc 0.9881 0.7500 0.8251
Se 0.1915 0.2500 0.6681
Se 0.3085 0.7500 0.1681
Se 0.6915 0.2500 0.8319
Se 0.8085 0.7500 0.3319

[2]
Entry from the Alexandria database: a geometry-optimized TcHgPb2 structure (PBEsol).

## Properties
Raw total energy (eV per atom): -4.47
Space group: Amm2
Energy of formation (eV/atom): 0.487
Magnetic moment (μB per formula unit): 0.001

a = 4.6075 Å, b = 5.6571 Å, c = 5.6571 Å
α = 36.22°, β = 90.00°, γ = 90.00°
Fractional positions:
Tc 0.0000 0.0000 0.0000
Hg 0.5000 0.1547 0.1547
Pb 0.0000 0.7289 0.7289
Pb 0.5000 0.4275 0.4275

[3]
Entry from the Alexandria database: a geometry-optimized BeAg2Te structure (PBEsol).

## Properties
Raw total energy (eV per atom): -3.28
Energy relative to the lowest polymorph listed for this composition (meV per atom): 92.0
Space group: R3m
Magnetic moment (μB per formula unit): 0.000
Uncorrected formation energy (kJ/mol of atoms): 24.96

a = 6.5144 Å, b = 6.5144 Å, c = 6.5144 Å
α = 33.84°, β = 33.84°, γ = 33.84°
Fractional positions:
Be 0.0000 0.0000 0.0000
Ag 0.4906 0.4906 0.4906
Ag 0.7350 0.7350 0.7350
Te 0.2723 0.2723 0.2723

The records above give, respectively, volume values of 236.3; 87.1; 76.4 Å³ per cell.